Entry 1:
SmCuSi2Pt2 | GGA-PBE | optimized geometry

a b c (Å): 4.1959 4.1959 6.7858
angles (deg): 90.00 90.00 120.00
Closest atoms and distances in Å follow each position.
Atoms (fractional coordinates):
Sm 0.0000 0.0000 0.0000  6 Si 3.15, 6 Pt 3.24, 2 Cu 3.39
Cu 0.0000 0.0000 0.5000  6 Pt 2.72, 6 Si 2.78
Pt 0.6667 0.3333 0.3181  4 Si 2.43-2.61
Si 0.3333 0.6667 0.2978  4 Pt 2.43-2.61
Si 0.6667 0.3333 0.7022  4 Pt 2.43-2.61
Pt 0.3333 0.6667 0.6819  4 Si 2.43-2.61

Properties
D(E_F) = 3.02 states/eV/cell
Symmetry = P-3m1, No. 164
Size of the total moment = 0.000 μB/cell
Total energy = -6.130 eV per atom
Uncorrected formation energy = -0.840 eV per atom

Entry 2:
Sr2CuSi3Pt4 | GGA-PBE | optimized geometry

a b c (Å): 4.3683 4.3683 9.8496
angles (deg): 90.00 90.00 90.00
Closest atoms and distances in Å follow each position.
Atoms (fractional coordinates):
Pt 0.5000 0.0000 0.6314  3 Si 2.42-2.54, 2 Cu 2.54
Pt 0.5000 0.5000 0.0000  4 Si 2.50
Sr 0.5000 0.0000 0.2570  2 Cu 3.24, 6 Si 3.24-3.36, 8 Pt 3.28-3.34
Pt 0.0000 0.0000 0.0000  4 Si 2.50
Pt 0.0000 0.5000 0.3686  3 Si 2.42-2.54, 2 Cu 2.54
Si 0.0000 0.0000 0.5000  4 Pt 2.54
Si 0.0000 0.5000 0.1227  5 Pt 2.42-2.50
Sr 0.0000 0.5000 0.7430  2 Cu 3.24, 6 Si 3.24-3.36, 8 Pt 3.28-3.34
Si 0.5000 0.0000 0.8773  5 Pt 2.42-2.50
Cu 0.5000 0.5000 0.5000  4 Pt 2.54

Properties
D(E_F) = 5.31 states/eV/cell
Symmetry = P-4m2, No. 115
Size of the total moment = 0.000 μB/cell
Total energy = -5.623 eV per atom
Uncorrected formation energy = -0.833 eV per atom

Entry 3:
SrCuSiPt | GGA-PBE | optimized geometry

a b c (Å): 4.4503 4.1383 5.6329
angles (deg): 111.55 113.27 90.00
Closest atoms and distances in Å follow each position.
Atoms (fractional coordinates):
Sr 0.9601 0.9601 0.9203  4 Si 3.17-3.23, 5 Pt 3.27-3.53, 5 Cu 3.32-3.36
Cu 0.6104 0.6104 0.2207  2 Si 2.43, 1 Pt 2.64
Si 0.2131 0.7131 0.4262  2 Pt 2.36, 2 Cu 2.43
Pt 0.3318 0.3318 0.6635  2 Si 2.36

Properties
D(E_F) = 1.53 states/eV/cell
Symmetry = Imm2, No. 44
Size of the total moment = 0.000 μB/cell
Total energy = -4.803 eV per atom
Uncorrected formation energy = -0.492 eV per atom

Entry 4:
SrCuSi2Pt2 | GGA-PBE | optimized geometry

a b c (Å): 4.2017 4.2017 7.2664
angles (deg): 90.00 90.00 120.00
Closest atoms and distances in Å follow each position.
Atoms (fractional coordinates):
Si 0.3333 0.6667 0.6786  4 Pt 2.43-2.57
Si 0.6667 0.3333 0.3214  4 Pt 2.43-2.57
Cu 0.0000 0.0000 0.5000  6 Pt 2.74, 6 Si 2.75
Pt 0.6667 0.3333 0.6748  4 Si 2.43-2.57
Pt 0.3333 0.6667 0.3252  4 Si 2.43-2.57
Sr 0.0000 0.0000 0.0000  6 Si 3.37, 6 Pt 3.39, 2 Cu 3.63

Properties
D(E_F) = 1.41 states/eV/cell
Symmetry = P-3m1, No. 164
Size of the total moment = 0.000 μB/cell
Total energy = -5.532 eV per atom
Uncorrected formation energy = -0.748 eV per atom

Entry 5:
Sr2CuSi3Pt12 | GGA-PBE | optimized geometry

a b c (Å): 7.7772 7.7772 7.7772
angles (deg): 64.00 64.00 64.00
Closest atoms and distances in Å follow each position.
Atoms (fractional coordinates):
Pt 0.3525 0.9012 0.3525  2 Si 2.36
Pt 0.9012 0.3525 0.3525  2 Si 2.36
Pt 0.6475 0.0988 0.6475  2 Si 2.36
Cu 0.0000 0.0000 0.0000  6 Pt 2.45
Pt 0.1213 0.1213 0.6323  1 Si 2.31, 1 Cu 2.45
Pt 0.1213 0.6323 0.1213  1 Si 2.31, 1 Cu 2.45
Pt 0.0988 0.6475 0.6475  2 Si 2.36
Si 0.0000 0.0000 0.5000  6 Pt 2.31-2.36
Sr 0.3846 0.3846 0.3846  6 Pt 2.98-3.00
Pt 0.3677 0.8787 0.8787  1 Si 2.31, 1 Cu 2.45
Pt 0.8787 0.3677 0.8787  1 Si 2.31, 1 Cu 2.45
Si 0.5000 0.0000 0.0000  6 Pt 2.31-2.36
Pt 0.6475 0.6475 0.0988  2 Si 2.36
Pt 0.6323 0.1213 0.1213  1 Si 2.31, 1 Cu 2.45
Pt 0.3525 0.3525 0.9012  2 Si 2.36
Si 0.0000 0.5000 0.0000  6 Pt 2.31-2.36
Sr 0.6154 0.6154 0.6154  6 Pt 2.98-3.00
Pt 0.8787 0.8787 0.3677  1 Si 2.31, 1 Cu 2.45

Properties
D(E_F) = 6.98 states/eV/cell
Symmetry = R-3m, No. 166
Size of the total moment = 0.000 μB/cell
Total energy = -5.705 eV per atom
Uncorrected formation energy = -0.360 eV per atom

Entry 6:
Sr2Cu6SiPt | GGA-PBE | optimized geometry

a b c (Å): 6.6992 6.3063 6.3120
angles (deg): 60.69 61.96 90.70
Closest atoms and distances in Å follow each position.
Atoms (fractional coordinates):
Si 0.0000 0.0000 0.0000  6 Cu 2.33-2.34
Cu 0.2265 0.7401 0.9175  1 Si 2.33, 1 Pt 2.47, 2 Cu 2.53-2.60
Sr 0.6946 0.2912 0.5971  9 Cu 3.14-3.51, 1 Pt 3.18
Cu 0.1402 0.2529 0.1058  1 Si 2.34, 1 Pt 2.46, 2 Cu 2.52-2.53
Cu 0.7735 0.2599 0.0825  1 Si 2.33, 1 Pt 2.47, 2 Cu 2.53-2.60
Cu 0.2190 0.1437 0.5127  1 Si 2.33, 1 Pt 2.47, 2 Cu 2.52-2.60
Cu 0.8598 0.7471 0.8942  1 Si 2.34, 1 Pt 2.46, 2 Cu 2.52-2.53
Pt 0.5000 0.5000 0.0000  6 Cu 2.46-2.47
Sr 0.3054 0.7088 0.4029  9 Cu 3.14-3.51, 1 Pt 3.18
Cu 0.7810 0.8563 0.4873  1 Si 2.33, 1 Pt 2.47, 2 Cu 2.52-2.60

Properties
D(E_F) = 3.96 states/eV/cell
Symmetry = P-1, No. 2
Size of the total moment = 0.000 μB/cell
Total energy = -4.118 eV per atom
Uncorrected formation energy = -0.177 eV per atom

Entry 7:
Tb2CuSi3Pt12 | GGA-PBE | optimized geometry

a b c (Å): 7.5729 7.5729 7.5729
angles (deg): 65.87 65.87 65.87
Closest atoms and distances in Å follow each position.
Atoms (fractional coordinates):
Tb 0.3854 0.3854 0.3854  6 Pt 2.83-2.90
Pt 0.8681 0.8681 0.3724  1 Si 2.31, 1 Cu 2.48
Pt 0.8681 0.3724 0.8681  1 Si 2.31, 1 Cu 2.48
Pt 0.3580 0.8937 0.3580  2 Si 2.39
Si 0.0000 0.5000 0.0000  6 Pt 2.31-2.39
Pt 0.3580 0.3580 0.8937  2 Si 2.39
Pt 0.8937 0.3580 0.3580  2 Si 2.39
Pt 0.3724 0.8681 0.8681  1 Si 2.31, 1 Cu 2.48
Tb 0.6146 0.6146 0.6146  6 Pt 2.83-2.90
Pt 0.1319 0.6276 0.1319  1 Si 2.31, 1 Cu 2.48
Pt 0.6276 0.1319 0.1319  1 Si 2.31, 1 Cu 2.48
Pt 0.1063 0.6420 0.6420  2 Si 2.39
Pt 0.1319 0.1319 0.6276  1 Si 2.31, 1 Cu 2.48
Si 0.5000 0.0000 0.0000  6 Pt 2.31-2.39
Pt 0.6420 0.6420 0.1063  2 Si 2.39
Pt 0.6420 0.1063 0.6420  2 Si 2.39
Si 0.0000 0.0000 0.5000  6 Pt 2.31-2.39
Cu 0.0000 0.0000 0.0000  6 Pt 2.48

Properties
D(E_F) = 7.21 states/eV/cell
Symmetry = R-3m, No. 166
Size of the total moment = 0.000 μB/cell
Total energy = -6.153 eV per atom
Uncorrected formation energy = -0.480 eV per atom

Entry 8:
TbCuSi2Pt5 | GGA-PBE | optimized geometry

a b c (Å): 4.0448 4.0448 10.3569
angles (deg): 90.00 90.00 90.00
Closest atoms and distances in Å follow each position.
Atoms (fractional coordinates):
Pt 0.5000 0.0000 0.1560  2 Si 2.36, 2 Cu 2.59
Si 0.5000 0.5000 0.2732  5 Pt 2.35-2.36
Pt 0.0000 0.5000 0.1560  2 Si 2.36, 2 Cu 2.59
Pt 0.5000 0.0000 0.8440  2 Si 2.36, 2 Cu 2.59
Pt 0.5000 0.5000 0.5000  2 Si 2.35
Pt 0.0000 0.5000 0.8440  2 Si 2.36, 2 Cu 2.59
Tb 0.0000 0.0000 0.5000  4 Pt 2.86
Si 0.5000 0.5000 0.7268  5 Pt 2.35-2.36
Cu 0.0000 0.0000 0.0000  8 Pt 2.59

Properties
D(E_F) = 5.27 states/eV/cell
Symmetry = P4/mmm, No. 123
Size of the total moment = 0.000 μB/cell
Total energy = -6.139 eV per atom
Uncorrected formation energy = -0.608 eV per atom

Entry 9:
CuSiTcPt | GGA-PBE | optimized geometry

a b c (Å): 4.2326 4.2326 4.2326
angles (deg): 60.00 60.00 60.00
Closest atoms and distances in Å follow each position.
Atoms (fractional coordinates):
Pt 0.2500 0.2500 0.2500  4 Si 2.59, 4 Cu 2.59
Cu 0.0000 0.0000 0.0000  4 Pt 2.59, 4 Tc 2.59
Tc 0.7500 0.7500 0.7500  4 Cu 2.59, 4 Si 2.59
Si 0.5000 0.5000 0.5000  4 Tc 2.59, 4 Pt 2.59

Properties
D(E_F) = 2.88 states/eV/cell
Symmetry = F-43m, No. 216
Size of the total moment = 0.000 μB/cell
Total energy = -6.748 eV per atom
Uncorrected formation energy = -0.266 eV per atom

Entry 10:
ThCuSi2Pt4 | GGA-PBE | optimized geometry

a b c (Å): 4.2123 4.2123 9.1426
angles (deg): 76.68 76.68 60.00
Closest atoms and distances in Å follow each position.
Atoms (fractional coordinates):
Pt 0.1317 0.1317 0.6048  3 Cu 2.60, 4 Si 2.61-2.80
Pt 0.8683 0.8683 0.3952  3 Cu 2.60, 4 Si 2.61-2.80
Cu 0.5000 0.5000 0.5000  8 Pt 2.57-2.60
Si 0.2377 0.2377 0.2869  7 Pt 2.53-2.80
Pt 0.4026 0.4026 0.7921  3 Si 2.53, 1 Cu 2.57
Si 0.7623 0.7623 0.7131  7 Pt 2.53-2.80
Pt 0.5974 0.5974 0.2079  3 Si 2.53, 1 Cu 2.57
Th 0.0000 0.0000 0.0000  6 Pt 3.04

Properties
D(E_F) = 4.05 states/eV/cell
Symmetry = R-3m, No. 166
Size of the total moment = 0.000 μB/cell
Total energy = -6.553 eV per atom
Uncorrected formation energy = -0.737 eV per atom

Entry 11:
Th2CuSiPt6 | GGA-PBE | optimized geometry

a b c (Å): 6.5816 6.5816 6.5815
angles (deg): 60.00 60.00 90.00
Closest atoms and distances in Å follow each position.
Atoms (fractional coordinates):
Pt 0.7447 0.7447 0.5105  1 Si 2.28, 1 Cu 2.38
Th 0.7500 0.2500 0.5000  12 Pt 3.29
Th 0.2500 0.7500 0.5000  12 Pt 3.29
Pt 0.2553 0.2553 0.4895  1 Si 2.28, 1 Cu 2.38
Pt 0.7447 0.7447 0.0000  1 Si 2.28, 1 Cu 2.38
Cu 0.0000 0.0000 0.0000  6 Pt 2.38
Pt 0.2553 0.7447 0.0000  1 Si 2.28, 1 Cu 2.38
Pt 0.2553 0.2553 0.0000  1 Si 2.28, 1 Cu 2.38
Si 0.5000 0.5000 0.0000  6 Pt 2.28
Pt 0.7447 0.2553 0.0000  1 Si 2.28, 1 Cu 2.38

Properties
D(E_F) = 5.13 states/eV/cell
Symmetry = Fm-3m, No. 225
Size of the total moment = 0.000 μB/cell
Total energy = -6.615 eV per atom
Uncorrected formation energy = -0.554 eV per atom

Entry 12:
Th2CuSi4Pt3 | GGA-PBE | optimized geometry

a b c (Å): 4.2687 4.2687 9.8173
angles (deg): 90.00 90.00 90.00
Closest atoms and distances in Å follow each position.
Atoms (fractional coordinates):
Th 0.5000 0.0000 0.2523  8 Si 3.23-3.27, 6 Pt 3.24-3.28, 2 Cu 3.24
Pt 0.0000 0.0000 0.5000  4 Si 2.48
Th 0.0000 0.5000 0.7477  8 Si 3.23-3.27, 2 Cu 3.24, 6 Pt 3.24-3.28
Si 0.5000 0.5000 0.0000  4 Pt 2.44
Cu 0.5000 0.5000 0.5000  4 Si 2.48
Si 0.0000 0.0000 0.0000  4 Pt 2.44
Si 0.5000 0.0000 0.6292  3 Pt 2.46-2.48, 2 Cu 2.48
Pt 0.0000 0.5000 0.1207  5 Si 2.44-2.46
Pt 0.5000 0.0000 0.8793  5 Si 2.44-2.46
Si 0.0000 0.5000 0.3708  3 Pt 2.46-2.48, 2 Cu 2.48

Properties
D(E_F) = 4.75 states/eV/cell
Symmetry = P-4m2, No. 115
Size of the total moment = 0.000 μB/cell
Total energy = -6.895 eV per atom
Uncorrected formation energy = -1.020 eV per atom

Question: Which formula does entry 8 have?
Answer: TbCuSi2Pt5